DFT (PBE) results for a relaxed structure of NaTa3H.

## Properties
The relative energy among the computed polymorphs comes out at 2493 meV/atom. For the size of the total moment, the calculation gives 0.0 μB/cell. As for the crystal system: cubic.

Unit cell a=4.6894 b=4.6894 c=4.6894 alpha=90.00 beta=90.00 gamma=90.00
Closest atoms and distances in Å follow each position.
Element x y z (fractional)
Ta: 0.0000 0.5000 0.0000  2 Na 2.34
H: 0.5000 0.5000 0.5000  12 Ta 3.32
Ta: 0.5000 0.0000 0.0000  2 Na 2.34
Ta: 0.0000 0.0000 0.5000  2 Na 2.34
Na: 0.0000 0.0000 0.0000  6 Ta 2.34